VASP calculation (GGA-PBE) on an optimized crystal structure of NaCu2SnS4.

Cell lengths 5.8761, 5.8761, 10.2358 Å; angles 90.00, 90.00, 90.00 degrees
Closest atoms and distances in Å follow each position.
Space group I-42m (No. 121)
Inequivalent atoms, fractional coordinates:
Na1 0.0000 0.0000 0.0000 x2  4 S 2.69
Cu1 0.0000 0.5000 0.2500 x4  4 S 2.33
Sn1 0.0000 0.0000 0.5000 x2  4 S 2.44
S1 0.2312 0.2312 0.3530 x8  2 Cu 2.33, 1 Sn 2.44

Output
**Formation energy from raw total energies**: -0.4508 eV/atom
**Total DFT energy (no corrections)**: -4.204 eV per atom
**DOS(E_F)**: 8.66 states/eV/f.u.